1.
A plane-wave DFT calculation with PBE-GGA was carried out for H2BrF after structural relaxation.

Properties
Distance to the lowest polymorph of the same formula in eV/atom: 0.491
Electronic total energy in eV per cell: -35.50
Crystal system: trigonal
Density of states at the Fermi level in states/eV per cell: 0.000
Total moment in μB/f.u.: 0.0

a = 3.6657 Å, b = 3.6657 Å, c = 13.9016 Å
α = 90.00°, β = 90.00°, γ = 120.00°
Space group R-3m (No. 166, hexagonal axes)
Unique sites:
H1 0.0000 0.0000 0.0758 (multiplicity 6)
Br1 0.0000 0.0000 0.5000 (multiplicity 3)
F1 0.0000 0.0000 0.0000 (multiplicity 3)

---

2.
A plane-wave DFT calculation with PBE-GGA was carried out for PmHfRuO6 after structural relaxation.

Properties
Electronic total energy in eV per cell: -150.28
Crystal system: tetragonal
Density of states at the Fermi level in states/eV per cell: 0.390
Total moment in μB/f.u.: 3.0

a = 4.950 Å, b = 4.950 Å, c = 9.845 Å
α = 90.00°, β = 90.00°, γ = 90.00°
Space group P4_2nm (No. 102)
Unique sites:
Pm1 0.000 0.000 0.000 (multiplicity 2)
Hf1 0.000 0.000 0.665 (multiplicity 2)
Ru1 0.000 0.000 0.329 (multiplicity 2)
O1 0.174 0.174 0.489 (multiplicity 4)
O2 0.202 0.202 0.187 (multiplicity 4)
O3 0.215 0.215 0.812 (multiplicity 4)

---

3.
A plane-wave DFT calculation with PBE-GGA was carried out for CrCu5Pd4 after structural relaxation.

Properties
Formation energy in eV per atom: 0.096
Electronic total energy in eV per cell: -99.83
Crystal system: monoclinic
Density of states at the Fermi level in states/eV per cell: 11.859
Total moment in μB/f.u.: 3.3

a = 9.166 Å, b = 4.001 Å, c = 7.953 Å
α = 90.00°, β = 94.15°, γ = 90.00°
Space group C2/m (No. 12)
Unique sites:
Cr1 0.000 0.000 0.000 (multiplicity 2)
Cu1 0.000 0.000 0.500 (multiplicity 2)
Cu2 0.159 0.500 0.470 (multiplicity 4)
Cu3 0.222 0.500 0.078 (multiplicity 4)
Pd1 0.045 0.500 0.786 (multiplicity 4)
Pd2 0.170 0.000 0.264 (multiplicity 4)

---

4.
A plane-wave DFT calculation with PBE-GGA was carried out for Sm2HoZn12Cu3 after structural relaxation.

Properties
Formation energy in eV per atom: -0.017
Electronic total energy in eV per cell: -125.68
Crystal system: trigonal
Density of states at the Fermi level in states/eV per cell: 27.691
Total moment in μB/f.u.: 0.0

a = 6.5115 Å, b = 6.5115 Å, c = 27.8865 Å
α = 90.00°, β = 90.00°, γ = 120.00°
Space group R-3m (No. 166, hexagonal axes)
Unique sites:
Sm1 0.0000 0.0000 0.1429 (multiplicity 6)
Ho1 0.0000 0.0000 0.5000 (multiplicity 3)
Zn1 0.0613 0.5307 0.9055 (multiplicity 18)
Zn2 0.0679 0.5339 0.7126 (multiplicity 18)
Cu1 0.0000 0.5000 0.0000 (multiplicity 9)

---

5.
A plane-wave DFT calculation with PBE-GGA was carried out for KGa8Ge2 after structural relaxation.

Properties
Formation energy in eV per atom: 0.109
Electronic total energy in eV per cell: -33.35
Crystal system: tetragonal
Density of states at the Fermi level in states/eV per cell: 5.395
Total moment in μB/f.u.: 0.0

a = 5.474 Å, b = 5.474 Å, c = 10.022 Å
α = 90.00°, β = 90.00°, γ = 90.00°
Space group P4/mmm (No. 123)
Unique sites:
K1 0.000 0.000 0.000 (multiplicity 1)
Ga1 0.251 0.251 0.305 (multiplicity 8)
Ge1 0.000 0.500 0.500 (multiplicity 2)

---

6.
A plane-wave DFT calculation with PBE-GGA was carried out for Hf2HPdRh after structural relaxation.

Properties
Distance to the lowest polymorph of the same formula in eV/atom: 0.022
Electronic total energy in eV per cell: -38.58
Crystal system: tetragonal
Density of states at the Fermi level in states/eV per cell: 3.245
Total moment in μB/f.u.: 0.0

a = 4.398 Å, b = 4.398 Å, c = 3.790 Å
α = 90.00°, β = 90.00°, γ = 90.00°
Space group P4/mmm (No. 123)
Unique sites:
Hf1 0.000 0.500 0.000 (multiplicity 2)
H1 0.000 0.000 0.000 (multiplicity 1)
Pd1 0.000 0.000 0.500 (multiplicity 1)
Rh1 0.500 0.500 0.500 (multiplicity 1)